(1)
# Cs3LiPb2F9

A relaxed structure of Cs3LiPb2F9 (PBE, Alexandria).

Lattice parameters (Å, degrees): 6.5286 6.5286 8.0832 90.00 90.00 120.00
With the nearest neighbours (Å) after each atom.
Space group P-3m1 (No. 164)
Symmetry-distinct sites (fractional):
Cs  0.0000  0.0000  0.0000 [1 per cell]  12 F 3.26-3.32
Cs  0.3333  0.6667  0.6561 [2 per cell]  12 F 3.19-3.36
Li  0.0000  0.0000  0.5000 [1 per cell]  6 F 2.23
Pb  0.3333  0.6667  0.1848 [2 per cell]  6 F 2.32-2.40
F  0.0000  0.5000  0.0000 [3 per cell]  2 Pb 2.40
F  0.1624  0.3249  0.3426 [6 per cell]  1 Li 2.23, 1 Pb 2.32

Output
The total energy is -4.44 eV/atom. The value obtained for the volume is 19.891 A^3/atom. The calculation puts the uncorrected formation energy at -37.87 eV per formula unit. The density of states at the Fermi level comes out at 0.2994 states/eV per atom.

(2)
# CsLiPbF6

A relaxed structure of CsLiPbF6 (PBE, Alexandria).

Lattice parameters (Å, degrees): 5.6381 5.6381 6.4966 90.00 90.00 120.00
With the nearest neighbours (Å) after each atom.
Space group P312 (No. 149)
Symmetry-distinct sites (fractional):
Cs  0.0000  0.0000  0.0000 [1 per cell]  6 F 3.01
Li  0.3333  0.6667  0.5000 [1 per cell]  6 F 2.11
Pb  0.6667  0.3333  0.5000 [1 per cell]  6 F 2.11
F  0.0007  0.3881  0.6818 [6 per cell]  1 Li 2.11, 1 Pb 2.11

Output
The total energy is -4.41 eV/atom. The value obtained for the volume is 19.874 A^3/atom. The calculation puts the uncorrected formation energy at -22.00 eV per formula unit. The density of states at the Fermi level comes out at 0.0000 states/eV per atom.

(3)
# CsLiPb2F8

A relaxed structure of CsLiPb2F8 (PBE, Alexandria).

Lattice parameters (Å, degrees): 4.4836 6.2966 7.6836 87.83 82.56 88.76
With the nearest neighbours (Å) after each atom.
Space group P-1 (No. 2)
Symmetry-distinct sites (fractional):
Cs  0.0000  0.0000  0.0000 [1 per cell]  6 F 2.86-2.98
Li  0.0000  0.0000  0.5000 [1 per cell]  2 F 1.83
Pb  0.4342  0.4576  0.2603 [2 per cell]  7 F 2.25-2.49
F  0.0571  0.4681  0.7766 [2 per cell]  2 Pb 2.29-2.32
F  0.2403  0.1326  0.3197 [2 per cell]  1 Li 1.83
F  0.3469  0.6936  0.4799 [2 per cell]  2 Pb 2.28-2.49, 1 Li 2.45
F  0.4879  0.7022  0.0164 [2 per cell]  2 Pb 2.37, 1 F 2.57

Output
The total energy is -4.39 eV/atom. The value obtained for the volume is 17.909 A^3/atom. The calculation puts the uncorrected formation energy at -27.54 eV per formula unit. The density of states at the Fermi level comes out at 0.3477 states/eV per atom.

(4)
# CsLiPdF6

A relaxed structure of CsLiPdF6 (PBE, Alexandria).

Lattice parameters (Å, degrees): 5.3668 5.3668 6.6112 90.00 90.00 120.00
With the nearest neighbours (Å) after each atom.
Space group P312 (No. 149)
Symmetry-distinct sites (fractional):
Cs  0.0000  0.0000  0.0000 [1 per cell]  6 F 2.96
Li  0.6667  0.3333  0.5000 [1 per cell]  6 F 2.10
Pd  0.3333  0.6667  0.5000 [1 per cell]  6 F 1.96
F  0.0205  0.3780  0.3336 [6 per cell]  1 Pd 1.96, 1 Li 2.10

Output
The total energy is -4.23 eV/atom. The value obtained for the volume is 18.330 A^3/atom. The calculation puts the uncorrected formation energy at -18.87 eV per formula unit. The density of states at the Fermi level comes out at 0.0000 states/eV per atom.

(5)
# CsLiPt2F

A relaxed structure of CsLiPt2F (PBE, Alexandria).

Lattice parameters (Å, degrees): 5.5670 5.5670 3.4395 90.00 90.00 90.00
With the nearest neighbours (Å) after each atom.
Space group P4/mmm (No. 123)
Symmetry-distinct sites (fractional):
Cs  0.0000  0.0000  0.0000 [1 per cell]  8 Pt 3.27, 2 Cs 3.44
Li  0.5000  0.5000  0.0000 [1 per cell]  2 F 1.72
Pt  0.0000  0.5000  0.5000 [2 per cell]  2 F 2.78
F  0.5000  0.5000  0.5000 [1 per cell]  2 Li 1.72

Output
The total energy is -3.34 eV/atom. The value obtained for the volume is 21.319 A^3/atom. The calculation puts the uncorrected formation energy at 0.01 eV per formula unit. The density of states at the Fermi level comes out at 0.4826 states/eV per atom.

(6)
# CsLiPtF6

A relaxed structure of CsLiPtF6 (PBE, Alexandria).

Lattice parameters (Å, degrees): 7.4106 7.4991 10.7267 90.00 90.00 90.00
With the nearest neighbours (Å) after each atom.
Space group Imma (No. 74)
Symmetry-distinct sites (fractional):
Cs  0.0000  0.2500  0.0854 [4 per cell]  5 F 2.93-3.17
Li  0.2500  0.2500  0.7500 [4 per cell]  6 F 1.97-2.12
Pt  0.0000  0.0000  0.5000 [4 per cell]  6 F 1.97-2.02
F  0.0000  0.2500  0.4289 [4 per cell]  2 Pt 2.02
F  0.0000  0.2500  0.8127 [4 per cell]  2 Li 1.97
F  0.1972  0.0446  0.6190 [16 per cell]  1 Pt 1.97, 1 Li 2.12

Output
The total energy is -4.24 eV/atom. The value obtained for the volume is 16.559 A^3/atom. The calculation puts the uncorrected formation energy at -18.15 eV per formula unit. The density of states at the Fermi level comes out at 0.6060 states/eV per atom.